Record 1
VASP calculation (PBE-GGA) on a relaxed structure of Ce2DyTl2Zn2.

Values from the calculation:
Formation enthalpy at 0 K = -0.148 eV/atom
Crystal system = trigonal

a b c (Å): 4.5934 4.5934 27.7148
angles (deg): 90.00 90.00 120.00
Space group R-3m (No. 166, hexagonal axes)
Unique sites:
Ce1 0.0000 0.0000 0.1437 (multiplicity 6)
Dy1 0.0000 0.0000 0.0000 (multiplicity 3)
Tl1 0.0000 0.0000 0.2708 (multiplicity 6)
Zn1 0.0000 0.0000 0.4198 (multiplicity 6)

Record 2
VASP calculation (PBE-GGA) on a relaxed structure of CeDyTm2.

Values from the calculation:
Energy above the lowest structure with this stoichiometry = 89 meV per atom
Formation enthalpy at 0 K = 0.145 eV/atom
Crystal system = cubic

a b c (Å): 7.9222 7.9222 7.9222
angles (deg): 90.00 90.00 90.00
Space group Fm-3m (No. 225)
Unique sites:
Ce1 0.0000 0.0000 0.0000 (multiplicity 4)
Dy1 0.0000 0.0000 0.5000 (multiplicity 4)
Tm1 0.2500 0.2500 0.2500 (multiplicity 8)

Record 3
VASP calculation (PBE-GGA) on a relaxed structure of Ce2Dy5Tm4.

Values from the calculation:
Formation enthalpy at 0 K = 0.078 eV/atom
Crystal system = triclinic

a b c (Å): 3.4758 8.7094 11.1750
angles (deg): 88.31 88.83 89.17
Space group P-1 (No. 2)
Unique sites:
Ce1 0.2452 0.4553 0.1348 (multiplicity 2)
Dy1 0.2237 0.6417 0.5841 (multiplicity 2)
Dy2 0.2550 0.8204 0.0226 (multiplicity 2)
Dy3 0.5000 0.0000 0.5000 (multiplicity 1)
Tm1 0.2052 0.0809 0.2375 (multiplicity 2)
Tm2 0.2619 0.2690 0.7050 (multiplicity 2)

Record 4
VASP calculation (PBE-GGA) on a relaxed structure of Ce2Dy12Tm5.

Values from the calculation:
Energy above the lowest structure with this stoichiometry = 0 meV per atom
Formation enthalpy at 0 K = 0.104 eV/atom
Crystal system = triclinic

a b c (Å): 6.1445 10.0387 10.4486
angles (deg): 66.99 84.56 87.38
Space group P-1 (No. 2)
Unique sites:
Ce1 0.2001 0.4834 0.0403 (multiplicity 2)
Dy1 0.0272 0.1533 0.3400 (multiplicity 2)
Dy2 0.0976 0.8337 0.9955 (multiplicity 2)
Dy3 0.1134 0.1704 0.6677 (multiplicity 2)
Dy4 0.3878 0.6728 0.4693 (multiplicity 2)
Dy5 0.4148 0.3264 0.8457 (multiplicity 2)
Dy6 0.4521 0.7002 0.7633 (multiplicity 2)
Tm1 0.0734 0.4946 0.3375 (multiplicity 2)
Tm2 0.4019 0.0032 0.1643 (multiplicity 2)
Tm3 0.5000 0.0000 0.5000 (multiplicity 1)

Record 5
VASP calculation (PBE-GGA) on a relaxed structure of CeDyTm2.

Values from the calculation:
Energy above the lowest structure with this stoichiometry = 116 meV per atom
Formation enthalpy at 0 K = 0.172 eV/atom
Crystal system = trigonal

a b c (Å): 3.3720 3.3720 36.5484
angles (deg): 90.00 90.00 120.00
Space group R-3m (No. 166, hexagonal axes)
Unique sites:
Ce1 0.0000 0.0000 0.0000 (multiplicity 3)
Dy1 0.0000 0.0000 0.5000 (multiplicity 3)
Tm1 0.0000 0.0000 0.0887 (multiplicity 6)

Record 6
VASP calculation (PBE-GGA) on a relaxed structure of CeDy2Tm7.

Values from the calculation:
Formation enthalpy at 0 K = 0.741 eV/atom
Crystal system = orthorhombic

a b c (Å): 8.5996 16.8019 5.2407
angles (deg): 90.00 90.00 90.00
Space group Cmmm (No. 65)
Unique sites:
Ce1 0.0000 0.0000 0.0000 (multiplicity 2)
Dy1 0.0000 0.2978 0.5000 (multiplicity 4)
Tm1 0.0000 0.1984 0.0000 (multiplicity 4)
Tm2 0.0000 0.5000 0.5000 (multiplicity 2)
Tm3 0.1771 0.1095 0.5000 (multiplicity 8)

Record 7
VASP calculation (PBE-GGA) on a relaxed structure of CeDy4Tm4.

Values from the calculation:
Formation enthalpy at 0 K = 0.043 eV/atom
Crystal system = tetragonal

a b c (Å): 10.5385 10.5385 4.9802
angles (deg): 90.00 90.00 90.00
Space group I4/mmm (No. 139)
Unique sites:
Ce1 0.0000 0.0000 0.0000 (multiplicity 2)
Dy1 0.0000 0.3319 0.0000 (multiplicity 8)
Tm1 0.1655 0.1655 0.5000 (multiplicity 8)

Record 8
VASP calculation (PBE-GGA) on a relaxed structure of CeDy2Tm2.

Values from the calculation:
Formation enthalpy at 0 K = 0.421 eV/atom
Crystal system = tetragonal

a b c (Å): 4.4601 4.4601 16.7010
angles (deg): 90.00 90.00 90.00
Space group I4/mmm (No. 139)
Unique sites:
Ce1 0.0000 0.0000 0.0000 (multiplicity 2)
Dy1 0.0000 0.5000 0.2500 (multiplicity 4)
Tm1 0.0000 0.0000 0.4053 (multiplicity 4)

Record 9
VASP calculation (PBE-GGA) on a relaxed structure of CeDyTm2.

Values from the calculation:
Energy above the lowest structure with this stoichiometry = 1 meV per atom
Formation enthalpy at 0 K = 0.057 eV/atom
Crystal system = trigonal

a b c (Å): 3.4975 3.4975 34.3119
angles (deg): 90.00 90.00 120.00
Space group R3m (No. 160, hexagonal axes)
Unique sites:
Ce1 0.0000 0.0000 0.0000 (multiplicity 3)
Dy1 0.0000 0.0000 0.1655 (multiplicity 3)
Tm1 0.0000 0.0000 0.5823 (multiplicity 3)
Tm2 0.0000 0.0000 0.7496 (multiplicity 3)

Record 10
VASP calculation (PBE-GGA) on a relaxed structure of CeDy6Tm12.

Values from the calculation:
Energy above the lowest structure with this stoichiometry = 0 meV per atom
Formation enthalpy at 0 K = 0.162 eV/atom
Crystal system = trigonal

a b c (Å): 11.7354 11.7354 14.9808
angles (deg): 90.00 90.00 120.00
Space group R-3 (No. 148, hexagonal axes)
Unique sites:
Ce1 0.0000 0.0000 0.0000 (multiplicity 3)
Dy1 0.0099 0.4218 0.6773 (multiplicity 18)
Tm1 0.0212 0.8398 0.1904 (multiplicity 18)
Tm2 0.0411 0.8532 0.4148 (multiplicity 18)

Record 11
VASP calculation (PBE-GGA) on a relaxed structure of Ce2Dy5Tm6.

Values from the calculation:
Formation enthalpy at 0 K = 0.128 eV/atom
Crystal system = orthorhombic

a b c (Å): 11.2989 20.5047 3.5024
angles (deg): 90.00 90.00 90.00
Space group Pbam (No. 55)
Unique sites:
Ce1 0.1895 0.2357 0.0000 (multiplicity 4)
Dy1 0.0000 0.5000 0.5000 (multiplicity 2)
Dy2 0.0644 0.7941 0.5000 (multiplicity 4)
Dy3 0.1872 0.0788 0.5000 (multiplicity 4)
Tm1 0.0655 0.6471 0.0000 (multiplicity 4)
Tm2 0.0837 0.9382 0.0000 (multiplicity 4)
Tm3 0.1847 0.3763 0.5000 (multiplicity 4)

no.,calculated total energy (eV per atom)
1,-3.541
2,-4.725
3,-4.719
4,-4.604
5,-4.697
6,-3.903
7,-4.649
8,-4.395
9,-4.813
10,-4.427
11,-4.618